Material: Li4PrAgSn2
Method: DFT, PBE-GGA
State: relaxed

## Properties
Final energy = -3.297 eV/atom
M_tot = 0.00 Bohr magnetons per cell
Fermi-level density of states = 3.829 states/eV/f.u.

a = 4.7488 Å, b = 4.7488 Å, c = 25.2868 Å
α = 90.00°, β = 90.00°, γ = 120.00°
Space group R-3m (No. 166, hexagonal axes)
Asymmetric unit:
1 Li 0.0000 0.0000 0.0999 [6 per cell]
2 Li 0.0000 0.0000 0.3659 [6 per cell]
3 Pr 0.0000 0.0000 0.5000 [3 per cell]
4 Ag 0.0000 0.0000 0.0000 [3 per cell]
5 Sn 0.0000 0.0000 0.2444 [6 per cell]